(1)
The following is a PBE-GGA calculation of a relaxed structure of SrAlGa4Pd2, from Alexandria via LeMat-Bulk.

Unit cell a=4.362 b=4.362 c=10.130 alpha=77.57 beta=77.57 gamma=60.00
Atoms (fractional coordinates):
Sr (0.000, 0.000, 0.000)
Al (0.500, 0.500, 0.500)
Ga (0.405, 0.405, 0.784)
Ga (0.887, 0.887, 0.339)
Ga (0.113, 0.113, 0.661)
Ga (0.595, 0.595, 0.216)
Pd (0.793, 0.793, 0.620)
Pd (0.207, 0.207, 0.380)

Values from the calculation:
- energy of formation (meV per atom) = -462
- total DFT energy (no corrections) (eV per atom) = -3.952
- space-group type = R-3m

***

(2)
The following is a PBE-GGA calculation of a relaxed structure of Pr2H2IrO6, from Alexandria via LeMat-Bulk.

Unit cell a=5.126 b=5.126 c=5.902 alpha=64.27 beta=64.27 gamma=60.00
Last column: magnetic moment on the atom in μB.
Atoms (fractional coordinates):
Pr (0.774, 0.774, 0.679)  0.01
Pr (0.226, 0.226, 0.321)  0.01
H (0.418, 0.418, 0.747)  0.00
H (0.582, 0.582, 0.253)  0.00
Ir (0.000, 0.000, 0.000)  0.58
O (0.742, 0.742, 0.264)  0.05
O (0.252, 0.742, 0.264)  0.05
O (0.742, 0.252, 0.264)  0.05
O (0.258, 0.748, 0.736)  0.05
O (0.748, 0.258, 0.736)  0.05
O (0.258, 0.258, 0.736)  0.05

Values from the calculation:
- total DFT energy (no corrections) (eV per atom) = -6.689
- space-group type = R-3m

***

(3)
The following is a PBE-GGA calculation of a relaxed structure of V2GaSbBr, from Alexandria via LeMat-Bulk.

Unit cell a=4.970 b=4.972 c=4.970 alpha=90.00 beta=90.00 gamma=90.00
Last column: magnetic moment on the atom in μB.
Atoms (fractional coordinates):
Sb (0.500, 0.500, 0.500)  -0.15
Ga (0.000, 0.000, 0.000)  -0.01
Br (0.000, 0.500, 0.000)  0.06
V (0.000, 0.000, 0.500)  2.31
V (0.500, 0.000, 0.000)  2.41

Values from the calculation:
- uncorrected formation energy (meV/atom) = 1025
- total DFT energy (no corrections) (eV per atom) = -4.387
- space-group type = P4/mmm

***

(4)
The following is a PBE-GGA calculation of a relaxed structure of CaSnAu10, from Alexandria via LeMat-Bulk.

Unit cell a=4.682 b=5.622 c=9.702 alpha=90.00 beta=90.00 gamma=90.00
Atoms (fractional coordinates):
Ca (0.000, 0.000, 0.000)
Sn (0.000, 0.500, 0.500)
Au (0.000, 0.000, 0.337)
Au (0.000, 0.500, 0.831)
Au (0.000, 0.500, 0.169)
Au (0.000, 0.000, 0.663)
Au (0.500, 0.000, 0.500)
Au (0.500, 0.500, 0.000)
Au (0.500, 0.247, 0.246)
Au (0.500, 0.753, 0.754)
Au (0.500, 0.753, 0.246)
Au (0.500, 0.247, 0.754)

Values from the calculation:
- energy of formation (meV per atom) = -182
- total DFT energy (no corrections) (eV per atom) = -3.413
- space-group type = Pmmm

***

(5)
The following is a PBE-GGA calculation of a relaxed structure of Na2Zn3Ga4Ge, from Alexandria via LeMat-Bulk.

Unit cell a=4.069 b=4.069 c=11.839 alpha=90.00 beta=90.00 gamma=90.00
Atoms (fractional coordinates):
Na (0.500, 0.000, 0.242)
Na (0.000, 0.500, 0.758)
Zn (0.000, 0.000, 0.500)
Zn (0.500, 0.000, 0.857)
Zn (0.000, 0.500, 0.143)
Ga (0.500, 0.500, 0.000)
Ga (0.000, 0.000, 0.000)
Ga (0.500, 0.000, 0.645)
Ga (0.000, 0.500, 0.355)
Ge (0.500, 0.500, 0.500)

Values from the calculation:
- energy of formation (meV per atom) = -69
- total DFT energy (no corrections) (eV per atom) = -2.387
- space-group type = P-4m2

***

(6)
The following is a PBE-GGA calculation of a relaxed structure of Fe3MoPt4, from Alexandria via LeMat-Bulk.

Unit cell a=4.756 b=5.446 c=8.899 alpha=90.00 beta=90.00 gamma=90.00
Last column: magnetic moment on the atom in μB.
Atoms (fractional coordinates):
Mo (0.000, 0.500, 0.000)  -0.59
Mo (0.000, 0.500, 0.500)  -0.59
Fe (0.000, 0.000, 0.000)  2.70
Fe (0.000, 0.000, 0.500)  2.70
Fe (0.668, 0.000, 0.750)  3.07
Fe (0.332, 0.000, 0.250)  3.07
Fe (0.671, 0.500, 0.750)  2.87
Fe (0.329, 0.500, 0.250)  2.87
Pt (0.500, 0.752, 0.000)  0.21
Pt (0.500, 0.752, 0.500)  0.21
Pt (0.500, 0.248, 0.000)  0.21
Pt (0.500, 0.248, 0.500)  0.21
Pt (0.156, 0.753, 0.750)  0.21
Pt (0.844, 0.753, 0.250)  0.21
Pt (0.844, 0.247, 0.250)  0.21
Pt (0.156, 0.247, 0.750)  0.21

Values from the calculation:
- energy of formation (meV per atom) = -242
- total DFT energy (no corrections) (eV per atom) = -7.790
- space-group type = Pmma

***

(7)
The following is a PBE-GGA calculation of a relaxed structure of CaScOs2, from Alexandria via LeMat-Bulk.

Unit cell a=2.951 b=2.951 c=9.094 alpha=90.00 beta=90.00 gamma=90.00
Atoms (fractional coordinates):
Sc (0.000, 0.000, 0.437)
Ca (0.500, 0.500, 0.796)
Os (0.000, 0.000, 0.045)
Os (0.500, 0.500, 0.222)

Values from the calculation:
- energy of formation (meV per atom) = 115
- total DFT energy (no corrections) (eV per atom) = -7.583
- space-group type = P4mm
- offset from the most stable computed form (eV/atom) = 0.000

***

(8)
The following is a PBE-GGA calculation of a relaxed structure of EuYHgSb, from Alexandria via LeMat-Bulk.

Unit cell a=5.405 b=5.405 c=5.405 alpha=60.00 beta=60.00 gamma=60.00
Last column: magnetic moment on the atom in μB.
Atoms (fractional coordinates):
Eu (0.250, 0.250, 0.250)  6.89
Sb (0.000, 0.000, 0.000)  -0.03
Y (0.750, 0.750, 0.750)  0.26
Hg (0.500, 0.500, 0.500)  0.04

Values from the calculation:
- uncorrected formation energy (meV/atom) = -659
- total DFT energy (no corrections) (eV per atom) = -5.950
- space-group type = F-43m

***

(9)
The following is a PBE-GGA calculation of a relaxed structure of Re2C3, from Alexandria via LeMat-Bulk.

Unit cell a=3.114 b=3.114 c=5.928 alpha=90.00 beta=90.00 gamma=120.00
Atoms (fractional coordinates):
Re (0.667, 0.333, 0.232)
Re (0.333, 0.667, 0.768)
C (0.000, 0.000, 0.000)
C (0.667, 0.333, 0.587)
C (0.333, 0.667, 0.413)

Values from the calculation:
- energy of formation (meV per atom) = 1233
- total DFT energy (no corrections) (eV per atom) = -9.281
- space-group type = P-3m1
- offset from the most stable computed form (eV/atom) = 0.042

***

(10)
The following is a PBE-GGA calculation of a relaxed structure of La6Bi2Sb3Te, from Alexandria via LeMat-Bulk.

Unit cell a=4.646 b=9.298 c=10.386 alpha=102.96 beta=102.93 gamma=90.00
Atoms (fractional coordinates):
La (0.332, 0.920, 0.663)
La (0.666, 0.586, 0.331)
La (0.668, 0.080, 0.337)
La (0.999, 0.255, 0.997)
La (0.001, 0.745, 0.003)
La (0.334, 0.414, 0.669)
Bi (0.834, 0.668, 0.668)
Bi (0.166, 0.332, 0.332)
Sb (0.500, 0.500, 0.000)
Sb (0.834, 0.166, 0.668)
Sb (0.166, 0.834, 0.332)
Te (0.500, 0.000, 0.000)

Values from the calculation:
- uncorrected formation energy (meV/atom) = -1282
- total DFT energy (no corrections) (eV per atom) = -5.685
- space-group type = C2/m

***

(11)
The following is a PBE-GGA calculation of a relaxed structure of NdLuAlTc, from Alexandria via LeMat-Bulk.

Unit cell a=5.007 b=5.007 c=5.007 alpha=60.00 beta=60.00 gamma=60.00
Atoms (fractional coordinates):
Lu (0.000, 0.000, 0.000)
Nd (0.500, 0.500, 0.500)
Tc (0.250, 0.250, 0.250)
Al (0.750, 0.750, 0.750)

Values from the calculation:
- energy of formation (meV per atom) = -83
- total DFT energy (no corrections) (eV per atom) = -5.932
- space-group type = F-43m

***

(12)
The following is a PBE-GGA calculation of a relaxed structure of DyPaCSe, from Alexandria via LeMat-Bulk.

Unit cell a=3.722 b=3.722 c=7.088 alpha=90.00 beta=105.22 gamma=120.00
Atoms (fractional coordinates):
Dy (0.501, 0.148, 0.665)
Pa (0.095, 0.946, 0.056)
C (0.315, 0.555, 0.886)
Se (0.967, 0.381, 0.363)

Values from the calculation:
- uncorrected formation energy (meV/atom) = -1033
- total DFT energy (no corrections) (eV per atom) = -7.734
- space-group type = R3m

***

Question: What is the formula in the eleventh record?
Answer: NdLuAlTc

***

Question: Among the records above, which one has the lowest total DFT energy (no corrections)?
Answer: Re2C3